Entry from Alexandria: Sc2Tc2Ni after structural relaxation (PBE).

POSCAR file:
```
Sc2Tc2Ni
1.0
6.446 0.000 0.000
0.000 6.446 0.000
0.000 0.000 4.197
Sc Tc Ni
4 4 2
Cartesian
1.154 2.069 0.000 Sc
2.069 5.292 0.000 Sc
4.377 1.154 0.000 Sc
5.292 4.377 0.000 Sc
0.824 4.047 2.098 Tc
2.399 0.824 2.098 Tc
4.047 5.623 2.098 Tc
5.623 2.399 2.098 Tc
0.000 0.000 2.098 Ni
3.223 3.223 2.098 Ni
```

Output
Magnetization, μB/f.u.: 0.00
Space group: No. 127
Formation energy from the elements, eV per atom: -0.034

---

Entry from Alexandria: Sc2TcNi after structural relaxation (PBE).

POSCAR file:
```
Sc2TcNi
1.0
1.589 0.918 7.904
-1.589 0.918 7.904
0.000 -1.835 7.904
Sc Tc Ni
2 1 1
Cartesian
0.000 0.000 5.927 Sc
0.000 0.000 17.784 Sc
0.000 0.000 0.000 Tc
0.000 0.000 11.856 Ni
```

Output
Energy relative to the lowest polymorph listed for this composition, meV per atom: 300.1
Magnetization, μB/f.u.: 0.00
Space group: No. 166
Formation energy from the elements, eV per atom: -0.033

---

Entry from Alexandria: ScTcNi2 after structural relaxation (PBE).

POSCAR file:
```
ScTcNi2
1.0
0.000 3.054 3.054
3.054 0.000 3.054
3.054 3.054 0.000
Sc Tc Ni
1 1 2
Cartesian
0.000 0.000 0.000 Sc
3.054 3.054 3.054 Tc
1.527 1.527 1.527 Ni
4.581 4.581 4.581 Ni
```

Output
Energy relative to the lowest polymorph listed for this composition, meV per atom: 92.8
Magnetization, μB/f.u.: 2.03
Space group: No. 225
Formation energy from the elements, eV per atom: -0.067

---

Entry from Alexandria: ScTcNi2 after structural relaxation (PBE).

POSCAR file:
```
ScTcNi2
1.0
-1.873 1.873 4.015
1.873 -1.873 4.015
1.873 1.873 -4.015
Sc Tc Ni
1 1 2
Cartesian
0.000 0.000 0.000 Sc
1.873 0.000 2.008 Tc
0.000 0.000 4.015 Ni
0.000 1.873 2.008 Ni
```

Output
Energy relative to the lowest polymorph listed for this composition, meV per atom: 117.3
Magnetization, μB/f.u.: 1.86
Space group: No. 119
Formation energy from the elements, eV per atom: -0.042

---

Entry from Alexandria: Sc4TcNi3 after structural relaxation (PBE).

POSCAR file:
```
Sc4TcNi3
1.0
3.192 0.000 0.000
0.000 3.192 0.000
0.000 0.000 12.786
Sc Tc Ni
4 1 3
Cartesian
0.000 0.000 1.597 Sc
0.000 0.000 4.794 Sc
0.000 0.000 7.992 Sc
0.000 0.000 11.189 Sc
1.596 1.596 0.000 Tc
1.596 1.596 3.272 Ni
1.596 1.596 6.393 Ni
1.596 1.596 9.514 Ni
```

Output
Magnetization, μB/f.u.: 0.00
Space group: No. 123
Formation energy from the elements, eV per atom: -0.417

---

Entry from Alexandria: Sc4TcNi after structural relaxation (PBE).

POSCAR file:
```
Sc4TcNi
1.0
3.274 0.000 0.000
0.000 3.274 0.000
0.000 0.000 11.009
Sc Tc Ni
4 1 1
Cartesian
0.000 0.000 1.479 Sc
0.000 0.000 9.530 Sc
1.637 1.637 3.992 Sc
1.637 1.637 7.017 Sc
0.000 0.000 5.504 Tc
1.637 1.637 0.000 Ni
```

Output
Energy relative to the lowest polymorph listed for this composition, meV per atom: 0.0
Magnetization, μB/f.u.: 0.00
Space group: No. 123
Formation energy from the elements, eV per atom: -0.248

---

Entry from Alexandria: ScTcNi2 after structural relaxation (PBE).

POSCAR file:
```
ScTcNi2
1.0
4.403 -1.366 0.000
4.403 1.366 0.000
-0.802 0.000 4.746
Sc Tc Ni
1 1 2
Cartesian
0.000 0.000 0.000 Sc
4.002 0.000 2.373 Tc
1.568 0.000 3.409 Ni
6.435 0.000 1.336 Ni
```

Output
Energy relative to the lowest polymorph listed for this composition, meV per atom: 182.9
Magnetization, μB/f.u.: 0.00
Space group: No. 12
Formation energy from the elements, eV per atom: 0.023

---

Entry from Alexandria: Sc2TcNi after structural relaxation (PBE).

POSCAR file:
```
Sc2TcNi
1.0
3.202 0.000 0.000
0.000 3.202 0.000
0.000 0.000 7.125
Sc Tc Ni
2 1 1
Cartesian
0.000 0.000 0.000 Sc
1.601 1.601 2.702 Sc
0.000 0.000 4.356 Tc
1.601 1.601 5.549 Ni
```

Output
Energy relative to the lowest polymorph listed for this composition, meV per atom: 316.2
Magnetization, μB/f.u.: 0.00
Space group: No. 99
Formation energy from the elements, eV per atom: -0.017

---

Entry from Alexandria: ScTcNi2 after structural relaxation (PBE).

POSCAR file:
```
ScTcNi2
1.0
4.709 -1.368 0.000
4.709 1.368 0.000
-1.502 0.000 4.313
Sc Tc Ni
1 1 2
Cartesian
0.000 0.000 0.000 Sc
6.734 0.000 1.612 Tc
0.987 0.000 3.622 Ni
4.146 0.000 2.173 Ni
```

Output
Energy relative to the lowest polymorph listed for this composition, meV per atom: 49.9
Magnetization, μB/f.u.: 0.00
Space group: No. 8
Formation energy from the elements, eV per atom: -0.110

---

Entry from Alexandria: Sc5TcNi2 after structural relaxation (PBE).

POSCAR file:
```
Sc5TcNi2
1.0
-3.352 3.352 6.682
3.352 -3.352 6.682
3.352 3.352 -6.682
Sc Tc Ni
10 2 4
Cartesian
0.000 0.000 0.000 Sc
4.526 1.174 -1.956 Sc
1.174 2.178 -1.956 Sc
4.526 1.174 1.956 Sc
1.174 2.178 1.956 Sc
0.000 0.000 6.682 Sc
2.178 1.174 4.726 Sc
-1.174 2.178 4.726 Sc
2.178 1.174 8.638 Sc
-1.174 2.178 8.638 Sc
0.000 0.000 3.341 Tc
0.000 0.000 10.023 Tc
2.530 0.822 0.000 Ni
2.530 -0.822 6.682 Ni
0.822 4.173 0.000 Ni
0.822 2.530 6.682 Ni
```

Output
Magnetization, μB/f.u.: 0.00
Space group: No. 140
Formation energy from the elements, eV per atom: -0.341

---

Entry from Alexandria: ScTcNi2 after structural relaxation (PBE).

POSCAR file:
```
ScTcNi2
1.0
1.383 0.798 8.582
-1.383 0.798 8.582
0.000 -1.597 8.582
Sc Tc Ni
1 1 2
Cartesian
0.000 0.000 0.000 Sc
0.000 0.000 12.873 Tc
0.000 0.000 6.352 Ni
0.000 0.000 19.394 Ni
```

Output
Energy relative to the lowest polymorph listed for this composition, meV per atom: 353.1
Magnetization, μB/f.u.: 0.00
Space group: No. 166
Formation energy from the elements, eV per atom: 0.193

---

Entry from Alexandria: Sc3TcNi after structural relaxation (PBE).

POSCAR file:
```
Sc3TcNi
1.0
4.911 0.000 0.000
0.000 4.911 0.000
0.000 0.000 4.911
Sc Tc Ni
3 1 1
Cartesian
0.000 0.000 2.455 Sc
0.000 2.455 0.000 Sc
2.455 0.000 0.000 Sc
0.000 0.000 0.000 Tc
2.455 2.455 2.455 Ni
```

Output
Energy relative to the lowest polymorph listed for this composition, meV per atom: 744.2
Magnetization, μB/f.u.: 0.00
Space group: No. 221
Formation energy from the elements, eV per atom: 0.435